# 1
Compound: Pr4Gd2H
Source: Alexandria
Functional: GGA-PBE
Structure: relaxed Values from VASP.

The structure in Quantum ESPRESSO input format:
```
&SYSTEM
  ibrav = 0, nat = 7, ntyp = 3
/
ATOMIC_SPECIES
Pr 140.91 Pr.upf
Gd 157.25 Gd.upf
H 1.01 H.upf
ATOMIC_POSITIONS angstrom
Pr 2.498 0.000 0.000
Pr 0.000 0.000 2.724
Pr 0.000 2.498 0.000
Pr 0.000 0.000 14.881
Gd 0.000 0.000 6.246
Gd 0.000 0.000 11.359
H 0.000 0.000 0.000
CELL_PARAMETERS angstrom
-2.498 2.498 8.803
2.498 -2.498 8.803
2.498 2.498 -8.803
```

## Properties
Crystal system: tetragonal
Space-group type: I4/mmm, No. 139
Total moment, μB/f.u.: 15.4
Density, g/cm³: 6.64
VASP energy, Ry per atom: -0.5274
V, Å³/atom: 31.4

# 2
Compound: PrGdH
Source: Alexandria
Functional: GGA-PBE
Structure: relaxed Values from VASP.

The structure in Quantum ESPRESSO input format:
```
&SYSTEM
  ibrav = 0, nat = 3, ntyp = 3
/
ATOMIC_SPECIES
Pr 140.91 Pr.upf
Gd 157.25 Gd.upf
H 1.01 H.upf
ATOMIC_POSITIONS angstrom
Pr 0.000 0.000 0.000
Gd 0.000 0.000 3.544
H 0.000 0.000 5.805
CELL_PARAMETERS angstrom
-1.739 1.739 6.162
1.739 -1.739 6.162
1.739 1.739 -6.162
```

## Properties
Relative energy among the computed polymorphs, meV per atom: 92
Crystal system: tetragonal
Space-group type: I4mm, No. 107
Total moment, μB/f.u.: 7.4
Density, g/cm³: 6.67
VASP energy, Ry per atom: -0.5535
V, Å³/atom: 24.8

# 3
Compound: Pr5Gd3H12
Source: Alexandria
Functional: GGA-PBE
Structure: relaxed Values from VASP.

The structure in Quantum ESPRESSO input format:
```
&SYSTEM
  ibrav = 0, nat = 80, ntyp = 3
/
ATOMIC_SPECIES
Pr 140.91 Pr.upf
Gd 157.25 Gd.upf
H 1.01 H.upf
ATOMIC_POSITIONS angstrom
Pr 0.000 0.000 0.000
Pr 3.394 3.394 -3.394
Pr 3.394 -3.394 3.394
Pr 6.788 0.000 0.000
Pr 10.182 1.697 0.000
Pr 6.788 -3.394 5.091
Pr 5.091 6.788 -3.394
Pr 5.091 0.000 3.394
Pr 3.394 5.091 0.000
Pr 6.788 3.394 1.697
Pr -3.394 3.394 3.394
Pr 0.000 6.788 0.000
Pr 0.000 0.000 6.788
Pr 3.394 3.394 3.394
Pr 0.000 3.394 5.091
Pr 3.394 1.697 6.788
Pr 1.697 6.788 3.394
Pr 1.697 0.000 10.182
Pr 0.000 10.182 1.697
Pr -3.394 5.091 6.788
Gd 3.394 1.697 0.000
Gd 6.788 3.394 -1.697
Gd 1.697 0.000 3.394
Gd 8.485 0.000 3.394
Gd 0.000 3.394 1.697
Gd 3.394 -1.697 6.788
Gd 3.394 8.485 0.000
Gd 6.788 3.394 5.091
Gd -1.697 6.788 3.394
Gd 5.091 6.788 3.394
Gd 0.000 3.394 8.485
Gd 3.394 5.091 6.788
H 2.138 0.002 0.980
H 8.045 4.374 -3.392
H 8.926 -0.002 0.980
H 8.045 -2.414 3.392
H 6.790 -0.980 2.138
H 10.180 -1.256 2.414
H 4.374 3.392 -1.256
H 5.808 2.138 -0.002
H 0.980 2.138 0.002
H 9.202 3.396 -1.256
H 0.002 0.980 2.138
H 3.392 -1.256 4.374
H 6.790 5.808 -2.138
H 3.392 1.256 2.414
H 2.414 3.392 1.256
H 7.768 4.650 -0.002
H 4.374 -3.392 8.045
H 5.808 -2.138 6.790
H 3.392 8.045 -2.414
H 6.790 0.980 4.650
H 2.138 6.790 -0.980
H 1.256 2.414 3.392
H 2.138 -0.002 5.808
H 8.045 2.414 3.396
H -1.256 4.374 3.392
H 4.650 6.790 0.980
H 5.532 4.374 3.396
H 4.650 -0.002 7.768
H -0.002 5.808 2.138
H 3.396 -1.256 9.202
H 0.980 8.926 -0.002
H 2.414 10.180 -1.256
H -0.980 2.138 6.790
H 4.374 3.396 5.532
H 3.396 5.532 4.374
H -0.002 0.980 8.926
H 3.396 8.045 2.414
H 6.786 5.808 4.650
H -2.414 3.392 8.045
H 5.808 4.650 6.786
H 0.980 4.650 6.790
H 2.414 3.396 8.045
H -3.392 8.045 4.374
H -0.002 7.768 4.650
H -1.256 9.202 3.396
H -2.138 6.790 5.808
H -1.256 2.414 10.180
H 4.650 6.786 5.808
CELL_PARAMETERS angstrom
-6.788 6.788 6.788
6.788 -6.788 6.788
6.788 6.788 -6.788
```

## Properties
Crystal system: cubic
Space-group type: Ia-3d, No. 230
Total moment, μB/f.u.: 23.5
Density, g/cm³: 6.31
VASP energy, Ry per atom: -0.4223
V, Å³/atom: 15.6

# 4
Compound: GdHPt3
Source: Alexandria
Functional: GGA-PBE
Structure: relaxed Values from VASP.

The structure in Quantum ESPRESSO input format:
```
&SYSTEM
  ibrav = 0, nat = 5, ntyp = 3
/
ATOMIC_SPECIES
Gd 157.25 Gd.upf
H 1.01 H.upf
Pt 195.08 Pt.upf
ATOMIC_POSITIONS angstrom
Gd 0.000 0.000 0.000
H 2.098 2.098 2.098
Pt 0.000 2.098 2.098
Pt 2.098 0.000 2.098
Pt 2.098 2.098 0.000
CELL_PARAMETERS angstrom
4.195 0.000 0.000
0.000 4.195 0.000
0.000 0.000 4.195
```

## Properties
Crystal system: cubic
Space-group type: Pm-3m, No. 221
Total moment, μB/f.u.: 7.0
Density, g/cm³: 16.72
VASP energy, Ry per atom: -0.5751
V, Å³/atom: 14.8

# 5
Compound: GdHPt
Source: Alexandria
Functional: GGA-PBE
Structure: relaxed Values from VASP.

The structure in Quantum ESPRESSO input format:
```
&SYSTEM
  ibrav = 0, nat = 3, ntyp = 3
/
ATOMIC_SPECIES
Gd 157.25 Gd.upf
H 1.01 H.upf
Pt 195.08 Pt.upf
ATOMIC_POSITIONS angstrom
Gd 0.000 0.000 0.000
H 0.000 2.307 1.805
Pt 1.998 1.153 1.795
CELL_PARAMETERS angstrom
3.996 0.000 0.000
-1.998 3.460 0.000
0.000 0.000 3.588
```

## Properties
Relative energy among the computed polymorphs, meV per atom: 200
Crystal system: trigonal
Space-group type: P3m1, No. 156
Total moment, μB/f.u.: 7.0
Density, g/cm³: 11.83
VASP energy, Ry per atom: -0.6206
V, Å³/atom: 16.5

# 6
Compound: GdHPt4
Source: Alexandria
Functional: GGA-PBE
Structure: relaxed Values from VASP.

The structure in Quantum ESPRESSO input format:
```
&SYSTEM
  ibrav = 0, nat = 6, ntyp = 3
/
ATOMIC_SPECIES
Gd 157.25 Gd.upf
H 1.01 H.upf
Pt 195.08 Pt.upf
ATOMIC_POSITIONS angstrom
Gd 0.000 0.000 0.000
H 5.636 5.636 5.636
Pt 2.822 2.822 2.822
Pt 4.692 4.692 2.822
Pt 4.692 2.822 4.692
Pt 2.822 4.692 4.692
CELL_PARAMETERS angstrom
0.000 3.757 3.757
3.757 0.000 3.757
3.757 3.757 0.000
```

## Properties
Crystal system: cubic
Space-group type: F-43m, No. 216
Total moment, μB/f.u.: 6.6
Density, g/cm³: 14.69
VASP energy, Ry per atom: -0.5346
V, Å³/atom: 17.7

# 7
Compound: GdHPt
Source: Alexandria
Functional: GGA-PBE
Structure: relaxed Values from VASP.

The structure in Quantum ESPRESSO input format:
```
&SYSTEM
  ibrav = 0, nat = 6, ntyp = 3
/
ATOMIC_SPECIES
Gd 157.25 Gd.upf
H 1.01 H.upf
Pt 195.08 Pt.upf
ATOMIC_POSITIONS angstrom
Gd 1.884 4.941 3.256
Gd 1.884 -4.941 1.085
H 1.884 2.616 3.256
H 1.884 -2.616 1.085
Pt 1.884 0.936 3.256
Pt 1.884 -0.936 1.085
CELL_PARAMETERS angstrom
1.884 -6.471 0.000
1.884 6.471 0.000
0.000 0.000 4.341
```

## Properties
Relative energy among the computed polymorphs, meV per atom: 0
Crystal system: orthorhombic
Space-group type: Cmcm, No. 63
Total moment, μB/f.u.: 7.1
Density, g/cm³: 11.09
VASP energy, Ry per atom: -0.6353
V, Å³/atom: 17.6

# 8
Compound: GdHPt2
Source: Alexandria
Functional: GGA-PBE
Structure: relaxed Values from VASP.

The structure in Quantum ESPRESSO input format:
```
&SYSTEM
  ibrav = 0, nat = 4, ntyp = 3
/
ATOMIC_SPECIES
Gd 157.25 Gd.upf
H 1.01 H.upf
Pt 195.08 Pt.upf
ATOMIC_POSITIONS angstrom
Gd 0.000 0.000 0.000
H 0.000 0.000 11.908
Pt 0.000 0.000 2.727
Pt 0.000 0.000 21.088
CELL_PARAMETERS angstrom
1.499 0.866 7.938
-1.499 0.866 7.938
0.000 -1.731 7.938
```

## Properties
Crystal system: trigonal
Space-group type: R-3m, No. 166
Total moment, μB/f.u.: 7.1
Density, g/cm³: 14.73
VASP energy, Ry per atom: -0.5299
V, Å³/atom: 15.5